No. 1
{"formula": "Re2Tc", "functional": "PBE", "state": "optimized geometry", "delta_e_f_ev_per_atom": 4.027, "sg": "Fd-3m (227)", "magnetic_moment_mub_per_fu": 5.6, "lattice": [[0.000, 5.473, 5.473], [5.473, 0.000, 5.473], [5.473, 5.473, 0.000]], "species": ["Re", "Re", "Re", "Re", "Tc", "Tc"], "fractional_positions": [[0.875, 0.875, 0.375], [0.875, 0.375, 0.875], [0.375, 0.875, 0.875], [0.875, 0.875, 0.875], [0.000, 0.000, 0.000], [0.750, 0.750, 0.750]]}

No. 2
{"formula": "ReTc2", "functional": "PBE", "state": "optimized geometry", "delta_e_f_ev_per_atom": 3.558, "sg": "Fd-3m (227)", "magnetic_moment_mub_per_fu": 3.6, "lattice": [[2.617, 1.244, 7.049], [3.377, -5.637, 3.861], [7.507, 0.230, 1.292]], "species": ["Re", "Re", "Tc", "Tc", "Tc", "Tc"], "fractional_positions": [[0.250, 0.250, 0.250], [0.500, 0.500, 0.500], [0.875, 0.375, 0.375], [0.375, 0.875, 0.375], [0.375, 0.375, 0.375], [0.375, 0.375, 0.875]]}

No. 3
{"formula": "ReTcW", "functional": "PBE", "state": "optimized geometry", "delta_e_f_ev_per_atom": 0.705, "sg": "F-43m (216)", "magnetic_moment_mub_per_fu": 0.0, "lattice": [[0.000, 2.999, 2.999], [2.999, 0.000, 2.999], [2.999, 2.999, 0.000]], "species": ["Re", "Tc", "W"], "fractional_positions": [[0.000, 0.000, 0.000], [0.250, 0.250, 0.250], [0.750, 0.750, 0.750]]}

No. 4
{"formula": "Y2ReTc3", "functional": "PBE", "state": "optimized geometry", "delta_e_f_ev_per_atom": -0.171, "sg": "P6_3/mmc (194)", "magnetic_moment_mub_per_fu": 0.0, "lattice": [[5.426, 0.000, 0.000], [-2.713, 4.699, 0.000], [0.000, 0.000, 8.731]], "species": ["Re", "Re", "Tc", "Tc", "Tc", "Tc", "Tc", "Tc", "Y", "Y", "Y", "Y"], "fractional_positions": [[0.000, 0.000, 0.000], [0.000, 0.000, 0.500], [0.341, 0.170, 0.250], [0.830, 0.170, 0.250], [0.830, 0.659, 0.250], [0.170, 0.341, 0.750], [0.170, 0.830, 0.750], [0.659, 0.830, 0.750], [0.333, 0.667, 0.063], [0.333, 0.667, 0.437], [0.667, 0.333, 0.563], [0.667, 0.333, 0.937]]}

No. 5
{"formula": "Re3Te4", "functional": "PBE", "state": "optimized geometry", "sg": "C2/m (12)", "magnetic_moment_mub_per_fu": 0.3, "dft_energy_ev_per_atom": -6.691, "lattice": [[-1.376, -3.048, -6.114], [-4.158, -4.230, -3.657], [-2.071, 6.236, 0.656]], "species": ["Re", "Re", "Re", "Te", "Te", "Te", "Te"], "fractional_positions": [[0.000, 0.000, 0.000], [0.258, 0.258, 0.315], [0.742, 0.742, 0.685], [0.357, 0.357, 0.013], [0.102, 0.102, 0.452], [0.898, 0.898, 0.548], [0.643, 0.643, 0.987]]}

No. 6
{"formula": "ReTe", "functional": "PBE", "state": "optimized geometry", "sg": "Fm-3m (225)", "magnetic_moment_mub_per_fu": 1.4, "dft_energy_ev_per_atom": -6.387, "lattice": [[0.000, 2.772, 2.772], [2.772, 0.000, 2.772], [2.772, 2.772, 0.000]], "species": ["Re", "Te"], "fractional_positions": [[0.000, 0.000, 0.000], [0.500, 0.500, 0.500]]}

No. 7
{"formula": "ReTe", "functional": "PBE", "state": "optimized geometry", "sg": "P-6m2 (187)", "magnetic_moment_mub_per_fu": 0.0, "dft_energy_ev_per_atom": -6.737, "lattice": [[3.279, 0.000, 0.000], [-1.640, 2.840, 0.000], [0.000, 0.000, 4.084]], "species": ["Re", "Te"], "fractional_positions": [[0.667, 0.333, 0.750], [0.333, 0.667, 0.250]]}

No. 8
{"formula": "ThReTe", "functional": "PBE", "state": "optimized geometry", "sg": "F-43m (216)", "magnetic_moment_mub_per_fu": 0.0, "dft_energy_ev_per_atom": -7.636, "lattice": [[0.000, 3.376, 3.376], [3.376, 0.000, 3.376], [3.376, 3.376, 0.000]], "species": ["Re", "Te", "Th"], "fractional_positions": [[0.000, 0.000, 0.000], [0.750, 0.750, 0.750], [0.250, 0.250, 0.250]]}